Record 1
A geometry-optimized Ni2IrPbAu structure, computed with PBE.

extended XYZ file:
```
5
Lattice="-1.258 4.263 -1.172 -3.120 0.157 3.923 3.371 1.713 2.613" Properties=species:S:1:pos:R:3 pbc="T T T"
Ni 1.686 0.856 1.306
Ni -0.629 2.131 -0.586
Pb 0.000 0.000 0.000
Ir -0.503 3.067 2.682
Au -1.560 0.079 1.961
```

Summary:
* ΔE_f: 1.822 eV/atom

***

Record 2
A geometry-optimized HgAu2Se2 structure, computed with PBE.

extended XYZ file:
```
10
Lattice="7.774 0.000 0.000 0.000 7.774 0.000 0.000 0.000 3.745" Properties=species:S:1:pos:R:3 pbc="T T T"
Au 4.848 6.813 1.873
Au 6.813 2.926 1.873
Au 0.961 4.848 1.873
Au 2.926 0.961 1.873
Se 5.434 1.547 0.000
Se 2.340 6.227 0.000
Se 6.227 5.434 0.000
Se 1.547 2.340 0.000
Hg 0.000 0.000 0.000
Hg 3.887 3.887 0.000
```

Summary:
* formation energy (no corrections): 0.238 eV per atom